First-principles (PBE) data for a relaxed structure of TlSb3C, as listed in Alexandria via LeMat-Bulk.

Results
- Total magnetization: 0.00 μB per formula unit
- Excess energy over the best structure of this formula in the dataset: 0 meV per atom
- ρ: 8.1 g/cm³
- Space group: No. 221

POSCAR file:
```
TlSb3C
1.0
-4.366 -1.732 1.499
1.962 -4.493 0.523
1.182 1.060 4.667
C Sb Tl
1 3 1
Direct
0.000 0.000 0.000
0.500 0.000 0.000
0.000 0.500 0.000
0.000 0.000 0.500
0.500 0.500 0.500
```